A plane-wave DFT calculation with PBE was carried out for an optimized crystal structure of TmSi2Os2.

a b c (Å): 5.624 5.624 5.624
angles (deg): 136.61 136.61 63.04
Element x y z (fractional)
Tm  0.000  0.000  0.000
Si  0.373  0.373  0.000
Si  0.627  0.627  0.000
Os  0.250  0.750  0.500
Os  0.750  0.250  0.500

Results
E_form (uncorrected) = -0.72 eV per atom
SG = I4/mmm